Compound: CsErTa6Cl18
Source: OQMD via LeMat-Bulk
Functional: PBE
Structure: optimized geometry

Geometry as CIF:
```
data_CsErTa6Cl18
_cell_length_a 9.2737
_cell_length_b 9.2737
_cell_length_c 17.3024
_cell_angle_alpha 90.00
_cell_angle_beta 90.00
_cell_angle_gamma 120.00
_space_group_name_H-M_alt 'P 1'
_space_group_IT_number 1
loop_
_space_group_symop_operation_xyz
'x,y,z'
loop_
_atom_site_label
_atom_site_type_symbol
_atom_site_fract_x
_atom_site_fract_y
_atom_site_fract_z
_atom_site_occupancy
Ta1 Ta 0.9603 0.8041 0.5678 1
Ta2 Ta 0.9603 0.1562 0.9322 1
Ta3 Ta 0.0397 0.8438 0.0678 1
Ta4 Ta 0.8041 0.8438 0.4322 1
Ta5 Ta 0.1959 0.0397 0.9322 1
Ta6 Ta 0.8438 0.8041 0.9322 1
Ta7 Ta 0.1562 0.9603 0.4322 1
Ta8 Ta 0.0397 0.1959 0.4322 1
Ta9 Ta 0.8041 0.9603 0.0678 1
Ta10 Ta 0.1562 0.1959 0.0678 1
Ta11 Ta 0.8438 0.0397 0.5678 1
Ta12 Ta 0.1959 0.1562 0.5678 1
Cl1 Cl 0.4495 0.3626 0.6617 1
Cl2 Cl 0.9532 0.7645 0.3386 1
Cl3 Cl 0.7645 0.9532 0.8386 1
Cl4 Cl 0.3626 0.4495 0.1617 1
Cl5 Cl 0.2783 0.4211 0.5013 1
Cl6 Cl 0.0869 0.6374 0.1617 1
Cl7 Cl 0.5505 0.9131 0.1617 1
Cl8 Cl 0.5789 0.8572 0.5013 1
Cl9 Cl 0.5505 0.6374 0.3383 1
Cl10 Cl 0.1428 0.4211 0.9987 1
Cl11 Cl 0.4211 0.2783 0.0013 1
Cl12 Cl 0.8572 0.5789 0.0013 1
Cl13 Cl 0.5789 0.7217 0.9987 1
Cl14 Cl 0.9131 0.3626 0.8383 1
Cl15 Cl 0.1887 0.9532 0.6614 1
Cl16 Cl 0.4495 0.0869 0.8383 1
Cl17 Cl 0.6374 0.5505 0.8383 1
Cl18 Cl 0.7645 0.8113 0.6614 1
Cl19 Cl 0.4211 0.1428 0.4987 1
Cl20 Cl 0.0869 0.4495 0.3383 1
Cl21 Cl 0.0468 0.8113 0.8386 1
Cl22 Cl 0.9131 0.5505 0.6617 1
Cl23 Cl 0.8113 0.0468 0.3386 1
Cl24 Cl 0.1428 0.7217 0.5013 1
Cl25 Cl 0.7217 0.1428 0.0013 1
Cl26 Cl 0.0468 0.2355 0.6614 1
Cl27 Cl 0.2355 0.0468 0.1614 1
Cl28 Cl 0.8113 0.7645 0.1614 1
Cl29 Cl 0.2783 0.8572 0.9987 1
Cl30 Cl 0.6374 0.0869 0.6617 1
Cl31 Cl 0.3626 0.9131 0.3383 1
Cl32 Cl 0.1887 0.2355 0.8386 1
Cl33 Cl 0.8572 0.2783 0.4987 1
Cl34 Cl 0.9532 0.1887 0.1614 1
Cl35 Cl 0.7217 0.5789 0.4987 1
Cl36 Cl 0.2355 0.1887 0.3386 1
Er1 Er 0.3333 0.6667 0.2500 1
Er2 Er 0.6667 0.3333 0.7500 1
Cs1 Cs 0.6667 0.3333 0.2500 1
Cs2 Cs 0.3333 0.6667 0.7500 1
```

Values from the calculation:
Total magnetization, μB/f.u.: 0.00
Final energy, eV per atom: -5.71
SG: P-31c (163)